# PBE Pa3NbGe2, optimized geometry
# crystal system: orthorhombic
# total magnetic moment: 0.000 μB per formula unit
data_Pa3NbGe2
_cell_length_a 5.9682
_cell_length_b 14.7412
_cell_length_c 6.0698
_cell_angle_alpha 90.00
_cell_angle_beta 90.00
_cell_angle_gamma 90.00
_symmetry_space_group_name_H-M 'I b a m'
_symmetry_Int_Tables_number 72
_symmetry_space_group_name_Hall '-I 2 2c'
loop_
_atom_site_label
_atom_site_fract_x
_atom_site_fract_y
_atom_site_fract_z
Pa1 0.0000 0.0000 0.2500
Pa2 0.2127 0.1630 0.0000
Nb1 0.0000 0.5000 0.2500
Ge1 0.2086 0.3622 0.0000

# PBE K2LiAl, optimized geometry
# crystal system: monoclinic
# total magnetic moment: 0.000 μB per formula unit
data_K2LiAl
_cell_length_a 3.5634
_cell_length_b 5.4944
_cell_length_c 7.6822
_cell_angle_alpha 90.00
_cell_angle_beta 91.68
_cell_angle_gamma 90.00
_symmetry_space_group_name_H-M 'P 1 2/m 1'
_symmetry_Int_Tables_number 10
loop_
_symmetry_equiv_pos_as_xyz
'x,y,z'
'-x,-y,-z'
'-x,y,-z'
'x,-y,z'
loop_
_atom_site_label
_atom_site_fract_x
_atom_site_fract_y
_atom_site_fract_z
K1 0.0042 0.0000 0.2361
Li1 0.5000 0.5000 0.5000
Al1 0.5000 0.5000 0.0000

| no. | density of states at the Fermi level (states/eV per atom) | E_form (eV/atom) |
| --- | --- | --- |
| 1 | 1.617 | -0.2670 |
| 2 | 0.631 | 0.3643 |